Th2Ga5Os3: relaxed, GGA-PBE.

Summary:
**N(E_F)**: 13.83 states/eV per cell
**Energy of formation**: -0.4138 eV per atom
**Mass density**: 12.16 Mg/m³
**Space group**: No. 72

Structure (POSCAR):
```
Th2Ga5Os3
1.0
-3.248 0.955 4.666
1.662 -6.123 5.971
4.946 3.424 6.303
Ga Os Th
10 6 4
direct
0.913 0.913 0.262
0.546 0.204 0.204
0.250 0.500 0.500
0.046 0.204 0.204
0.454 0.796 0.796
0.587 0.738 0.087
0.750 0.500 0.500
0.954 0.796 0.796
0.413 0.262 0.913
0.087 0.087 0.738
0.750 0.000 0.000
0.250 0.000 0.000
0.847 0.749 0.557
0.347 0.557 0.749
0.653 0.443 0.251
0.153 0.251 0.443
0.359 0.868 0.413
0.141 0.587 0.132
0.859 0.413 0.868
0.641 0.132 0.587
```

=====

Al5Sb4: relaxed, GGA-PBE.

Summary:
**N(E_F)**: 3.95 states/eV per cell
**Energy relative to the elements, uncorrected**: 189 meV per atom
**Mass density**: 5.06 Mg/m³
**Energy above the most stable polymorph in this dataset**: 0.000 eV/atom
**Space group**: No. 139

Structure (POSCAR):
```
Al5Sb4
1.0
-5.139 5.139 1.932
5.139 -5.139 1.932
5.139 5.139 -1.932
Sb Al
4 5
direct
0.000 0.703 0.703
0.703 0.000 0.703
0.297 0.000 0.297
0.000 0.297 0.297
0.342 0.658 0.000
0.658 0.342 0.000
0.658 0.658 0.315
0.342 0.342 0.685
0.000 0.000 0.000
```

=====

MgSiRh2: relaxed, GGA-PBE.

Summary:
**N(E_F)**: 1.87 states/eV per cell
**Energy relative to the elements, uncorrected**: -604 meV per atom
**Mass density**: 7.62 Mg/m³
**Space group**: No. 8

Structure (POSCAR):
```
MgSiRh2
1.0
-1.856 4.421 0.658
-3.177 2.625 2.537
2.333 1.678 3.244
Si Rh Mg
1 2 1
direct
0.487 0.487 0.576
0.762 0.762 0.673
0.999 0.999 0.061
0.251 0.251 0.190
```

=====

Y2VI: relaxed, GGA-PBE.

Summary:
**N(E_F)**: 4.94 states/eV per cell
**Energy relative to the elements, uncorrected**: 252 meV per atom
**Mass density**: 5.49 Mg/m³
**Energy above the most stable polymorph in this dataset**: 0.000 eV/atom
**Space group**: No. 225

Structure (POSCAR):
```
Y2VI
1.0
0.000 3.775 3.775
3.775 0.000 3.775
3.775 3.775 0.000
Y I V
2 1 1
direct
0.250 0.250 0.250
0.750 0.750 0.750
0.500 0.500 0.500
0.000 0.000 0.000
```

=====

AgSe4: relaxed, GGA-PBE.

Summary:
**N(E_F)**: 2.73 states/eV per cell
**Energy relative to the elements, uncorrected**: 52 meV per atom
**Mass density**: 5.33 Mg/m³
**Energy above the most stable polymorph in this dataset**: 0.000 eV/atom
**Space group**: No. 14

Structure (POSCAR):
```
AgSe4
1.0
-5.148 0.210 3.572
-3.051 1.376 -4.477
0.724 -8.197 1.525
Se Ag
8 2
direct
0.137 0.722 0.406
0.203 0.282 0.307
0.863 0.278 0.594
0.703 0.718 0.193
0.297 0.282 0.807
0.637 0.278 0.094
0.797 0.718 0.693
0.363 0.722 0.906
0.500 0.000 0.500
0.000 0.000 0.000
```

=====

Sc4TcTe: relaxed, GGA-PBE.

Summary:
**N(E_F)**: 8.19 states/eV per cell
**Energy relative to the elements, uncorrected**: 345 meV per atom
**Mass density**: 5.24 Mg/m³
**Energy above the most stable polymorph in this dataset**: 0.893 eV/atom
**Space group**: No. 216

Structure (POSCAR):
```
Sc4TcTe
1.0
-3.158 -4.632 -0.802
-5.046 0.418 -2.536
-0.724 -2.064 -5.223
Te Sc Tc
1 4 1
direct
0.000 0.000 0.000
0.377 0.377 0.868
0.377 0.377 0.377
0.868 0.377 0.377
0.377 0.868 0.377
0.750 0.750 0.750
```

=====

no.,E (eV per atom)
1,-6.78
2,-3.72
3,-6.03
4,-5.65
5,-3.31
6,-6.13